a:
Here is crystalline BaLi2Ta at its relaxed geometry from Alexandria via LeMat-Bulk. Energies are from PBE-GGA.

Values from the calculation:
Magnetic moment, μB/cell: 0.00

a b c (Å): 3.042 4.593 6.708
angles (deg): 90.00 90.00 90.00
Space group Pmmm (No. 47)
Unique sites:
1 Ba 0.000 0.000 0.000 [1 per cell]
2 Li 0.500 0.500 0.313 [2 per cell]
3 Ta 0.000 0.000 0.500 [1 per cell]



b:
Here is crystalline BaLi2Ta at its relaxed geometry from Alexandria via LeMat-Bulk. Energies are from PBE-GGA.

Values from the calculation:
Magnetic moment, μB/cell: 10.27

a b c (Å): 7.439 7.439 7.439
angles (deg): 90.00 90.00 90.00
Space group Fm-3m (No. 225)
Unique sites:
1 Ba 0.000 0.000 0.000 [4 per cell]
2 Li 0.250 0.250 0.250 [8 per cell]
3 Ta 0.000 0.000 0.500 [4 per cell]



c:
Here is crystalline BaLi2Ta at its relaxed geometry from Alexandria via LeMat-Bulk. Energies are from PBE-GGA.

Values from the calculation:
Magnetic moment, μB/cell: 0.00

a b c (Å): 6.509 9.476 2.973
angles (deg): 90.00 90.00 90.00
Space group Cmmm (No. 65)
Unique sites:
1 Ba 0.000 0.000 0.000 [2 per cell]
2 Li 0.250 0.250 0.500 [4 per cell]
3 Ta 0.000 0.500 0.000 [2 per cell]



Tell me which of them is the least stable. Sure, it is b.



a:
Here is crystalline BaLiTc at its relaxed geometry from Alexandria via LeMat-Bulk. Energies are from PBE-GGA.

Values from the calculation:
Magnetic moment, μB/cell: 0.00

a b c (Å): 3.044 4.070 11.182
angles (deg): 90.00 90.00 90.00
Space group Imm2 (No. 44)
Unique sites:
1 Ba 0.000 0.000 0.000 [2 per cell]
2 Li 0.000 0.000 0.717 [2 per cell]
3 Tc 0.000 0.000 0.303 [2 per cell]



b:
Here is crystalline BaLiTc at its relaxed geometry from Alexandria via LeMat-Bulk. Energies are from PBE-GGA.

Values from the calculation:
Magnetic moment, μB/cell: 8.41

a b c (Å): 7.159 7.159 7.159
angles (deg): 90.00 90.00 90.00
Space group F-43m (No. 216)
Unique sites:
1 Ba 0.000 0.000 0.000 [4 per cell]
2 Li 0.250 0.250 0.750 [4 per cell]
3 Tc 0.250 0.250 0.250 [4 per cell]



Tell me which of them is the least stable. Sure, it is b.



a:
Here is crystalline BaLiTc at its relaxed geometry from Alexandria via LeMat-Bulk. Energies are from PBE-GGA.

Values from the calculation:
Magnetic moment, μB/cell: 0.00

a b c (Å): 5.1645 5.1645 2.9736
angles (deg): 90.00 90.00 120.00
Space group P3m1 (No. 156)
Unique sites:
1 Ba 0.0000 0.0000 0.0000 [1 per cell]
2 Li 0.6667 0.3333 0.4163 [1 per cell]
3 Tc 0.3333 0.6667 0.5419 [1 per cell]



b:
Here is crystalline BaLiTc at its relaxed geometry from Alexandria via LeMat-Bulk. Energies are from PBE-GGA.

Values from the calculation:
Magnetic moment, μB/cell: 7.98

a b c (Å): 7.100 7.100 7.100
angles (deg): 90.00 90.00 90.00
Space group F-43m (No. 216)
Unique sites:
1 Ba 0.000 0.000 0.000 [4 per cell]
2 Li 0.000 0.000 0.500 [4 per cell]
3 Tc 0.250 0.250 0.250 [4 per cell]



Tell me which of them is the least stable. Sure, it is b.



a:
Here is crystalline BaLi3Tc at its relaxed geometry from Alexandria via LeMat-Bulk. Energies are from PBE-GGA.

Values from the calculation:
Magnetic moment, μB/cell: 1.35

a b c (Å): 5.122 5.122 5.122
angles (deg): 90.00 90.00 90.00
Space group Pm-3m (No. 221)
Unique sites:
1 Ba 0.000 0.000 0.000 [1 per cell]
2 Li 0.000 0.500 0.500 [3 per cell]
3 Tc 0.500 0.500 0.500 [1 per cell]



b:
Here is crystalline BaLi3Tc at its relaxed geometry from Alexandria via LeMat-Bulk. Energies are from PBE-GGA.

Values from the calculation:
Magnetic moment, μB/cell: 0.00

a b c (Å): 4.790 4.790 4.790
angles (deg): 90.00 90.00 90.00
Space group Pm-3m (No. 221)
Unique sites:
1 Ba 0.000 0.000 0.000 [1 per cell]
2 Li 0.000 0.000 0.500 [3 per cell]
3 Tc 0.500 0.500 0.500 [1 per cell]



Tell me which of them is the least stable. Sure, it is b.



a:
Here is crystalline BaLi3Te at its relaxed geometry from Alexandria via LeMat-Bulk. Energies are from PBE-GGA.

Values from the calculation:
Magnetic moment, μB/cell: 1.03

a b c (Å): 5.413 5.413 5.413
angles (deg): 90.00 90.00 90.00
Space group Pm-3m (No. 221)
Unique sites:
1 Ba 0.000 0.000 0.000 [1 per cell]
2 Li 0.000 0.500 0.500 [3 per cell]
3 Te 0.500 0.500 0.500 [1 per cell]



b:
Here is crystalline BaLi3Te at its relaxed geometry from Alexandria via LeMat-Bulk. Energies are from PBE-GGA.

Values from the calculation:
Magnetic moment, μB/cell: 2.29

a b c (Å): 5.735 5.735 5.735
angles (deg): 90.00 90.00 90.00
Space group Pm-3m (No. 221)
Unique sites:
1 Ba 0.000 0.000 0.000 [1 per cell]
2 Li 0.000 0.000 0.500 [3 per cell]
3 Te 0.500 0.500 0.500 [1 per cell]



Tell me which of them is the least stable. Sure, it is b.



a:
Here is crystalline Ba2LiTi at its relaxed geometry from Alexandria via LeMat-Bulk. Energies are from PBE-GGA.

Values from the calculation:
Magnetic moment, μB/cell: 11.86

a b c (Å): 5.063 5.063 23.640
angles (deg): 90.00 90.00 90.00
Space group I-42d (No. 122)
Unique sites:
1 Ba 0.249 0.250 0.125 [8 per cell]
2 Li 0.000 0.000 0.500 [4 per cell]
3 Ti 0.000 0.000 0.000 [4 per cell]



b:
Here is crystalline Ba2LiTi at its relaxed geometry from Alexandria via LeMat-Bulk. Energies are from PBE-GGA.

Values from the calculation:
Magnetic moment, μB/cell: 0.00

a b c (Å): 8.371 8.371 8.371
angles (deg): 90.00 90.00 90.00
Space group Fm-3m (No. 225)
Unique sites:
1 Ba 0.250 0.250 0.250 [8 per cell]
2 Li 0.000 0.000 0.000 [4 per cell]
3 Ti 0.000 0.000 0.500 [4 per cell]



Tell me which of them is the least stable. Sure, it is a.